No. 1
Compound: PmPr6Sc
Source: Alexandria
Functional: PBE
Structure: relaxed

Structure (CIF):
```
data_PmPr6Sc
_cell_length_a 5.157
_cell_length_b 5.157
_cell_length_c 10.335
_cell_angle_alpha 90.00
_cell_angle_beta 90.00
_cell_angle_gamma 90.00
_symmetry_space_group_name_H-M 'P 4/m m m'
_symmetry_Int_Tables_number 123
_symmetry_space_group_name_Hall '-P 4 2'
loop_
_atom_site_label
_atom_site_type_symbol
_atom_site_fract_x
_atom_site_fract_y
_atom_site_fract_z
Pm1 Pm 0.000 0.000 0.000
Pr1 Pr 0.000 0.500 0.256
Pr2 Pr 0.500 0.500 0.000
Pr3 Pr 0.500 0.500 0.500
Sc1 Sc 0.000 0.000 0.500
```

---

No. 2
# Pm2Pr6Sc (PBE, relaxed)
data_Pm2Pr6Sc
_cell_length_a 16.638
_cell_length_b 11.914
_cell_length_c 6.271
_cell_angle_alpha 90.00
_cell_angle_beta 96.95
_cell_angle_gamma 90.00
_symmetry_space_group_name_H-M 'C 1 2/c 1'
_symmetry_Int_Tables_number 15
loop_
_symmetry_equiv_pos_as_xyz
'x,y,z'
'-x,-y,-z'
'-x,y,-z+1/2'
'x,-y,z+1/2'
'x+1/2,y+1/2,z'
'-x+1/2,-y+1/2,-z'
'-x+1/2,y+1/2,-z+1/2'
'x+1/2,-y+1/2,z+1/2'
loop_
_atom_site_label
_atom_site_type_symbol
_atom_site_fract_x
_atom_site_fract_y
_atom_site_fract_z
Pm1 Pm 0.172 0.108 0.069
Pr1 Pr 0.051 0.139 0.512
Pr2 Pr 0.107 0.366 0.826
Pr3 Pr 0.207 0.365 0.359
Sc1 Sc 0.000 0.390 0.250
# Distance to the lowest polymorph of the same formula (meV per atom): 0

---

No. 3
# Pm5Pr12Sc2 (PBE, relaxed)
data_Pm5Pr12Sc2
_cell_length_a 18.742
_cell_length_b 7.926
_cell_length_c 9.765
_cell_angle_alpha 90.00
_cell_angle_beta 113.56
_cell_angle_gamma 90.00
_symmetry_space_group_name_H-M 'C 1 2/m 1'
_symmetry_Int_Tables_number 12
loop_
_symmetry_equiv_pos_as_xyz
'x,y,z'
'-x,-y,-z'
'-x,y,-z'
'x,-y,z'
'x+1/2,y+1/2,z'
'-x+1/2,-y+1/2,-z'
'-x+1/2,y+1/2,-z'
'x+1/2,-y+1/2,z'
loop_
_atom_site_label
_atom_site_type_symbol
_atom_site_fract_x
_atom_site_fract_y
_atom_site_fract_z
Pm1 Pm 0.000 0.000 0.000
Pm2 Pm 0.187 0.500 0.695
Pm3 Pm 0.207 0.000 0.706
Pr1 Pr 0.015 0.500 0.179
Pr2 Pr 0.019 0.000 0.684
Pr3 Pr 0.152 0.230 0.364
Pr4 Pr 0.156 0.244 0.981
Sc1 Sc 0.000 0.326 0.500
# Distance to the lowest polymorph of the same formula (meV per atom): 25

---

No. 4
# PmPrSc (PBE, relaxed)
data_PmPrSc
_cell_length_a 5.5937
_cell_length_b 5.5937
_cell_length_c 3.4631
_cell_angle_alpha 90.00
_cell_angle_beta 90.00
_cell_angle_gamma 120.00
_symmetry_space_group_name_H-M 'P -6 m 2'
_symmetry_Int_Tables_number 187
_symmetry_space_group_name_Hall 'P -6 2'
loop_
_atom_site_label
_atom_site_type_symbol
_atom_site_fract_x
_atom_site_fract_y
_atom_site_fract_z
Pm1 Pm 0.0000 0.0000 0.0000
Pr1 Pr 0.6667 0.3333 0.5000
Sc1 Sc 0.3333 0.6667 0.0000
# Distance to the lowest polymorph of the same formula (meV per atom): 24

---

No. 5
Compound: Pm5Pr2Sc4
Source: Alexandria
Functional: PBE
Structure: relaxed

Structure (CIF):
```
data_Pm5Pr2Sc4
_cell_length_a 3.462
_cell_length_b 8.868
_cell_length_c 22.927
_cell_angle_alpha 90.00
_cell_angle_beta 90.00
_cell_angle_gamma 90.00
_symmetry_space_group_name_H-M 'I m m m'
_symmetry_Int_Tables_number 71
_symmetry_space_group_name_Hall '-I 2 2'
loop_
_atom_site_label
_atom_site_type_symbol
_atom_site_fract_x
_atom_site_fract_y
_atom_site_fract_z
Pm1 Pm 0.000 0.000 0.000
Pm2 Pm 0.000 0.299 0.362
Pr1 Pr 0.000 0.500 0.231
Sc1 Sc 0.000 0.174 0.500
Sc2 Sc 0.000 0.500 0.093
```

---

No. 6
Compound: Pm3Pr2Sc2
Source: Alexandria
Functional: PBE
Structure: relaxed

Structure (CIF):
```
data_Pm3Pr2Sc2
_cell_length_a 11.151
_cell_length_b 5.052
_cell_length_c 8.001
_cell_angle_alpha 90.00
_cell_angle_beta 98.58
_cell_angle_gamma 90.00
_symmetry_space_group_name_H-M 'C 1 2/m 1'
_symmetry_Int_Tables_number 12
loop_
_symmetry_equiv_pos_as_xyz
'x,y,z'
'-x,-y,-z'
'-x,y,-z'
'x,-y,z'
'x+1/2,y+1/2,z'
'-x+1/2,-y+1/2,-z'
'-x+1/2,y+1/2,-z'
'x+1/2,-y+1/2,z'
loop_
_atom_site_label
_atom_site_type_symbol
_atom_site_fract_x
_atom_site_fract_y
_atom_site_fract_z
Pm1 Pm 0.000 0.000 0.000
Pm2 Pm 0.145 0.000 0.431
Pr1 Pr 0.072 0.500 0.725
Sc1 Sc 0.216 0.500 0.139
```

---

No. 7
# Pm4Pr5Sc (PBE, relaxed)
data_Pm4Pr5Sc
_cell_length_a 17.551
_cell_length_b 3.609
_cell_length_c 11.557
_cell_angle_alpha 90.00
_cell_angle_beta 109.56
_cell_angle_gamma 90.00
_symmetry_space_group_name_H-M 'C 1 2/m 1'
_symmetry_Int_Tables_number 12
loop_
_symmetry_equiv_pos_as_xyz
'x,y,z'
'-x,-y,-z'
'-x,y,-z'
'x,-y,z'
'x+1/2,y+1/2,z'
'-x+1/2,-y+1/2,-z'
'-x+1/2,y+1/2,-z'
'x+1/2,-y+1/2,z'
loop_
_atom_site_label
_atom_site_type_symbol
_atom_site_fract_x
_atom_site_fract_y
_atom_site_fract_z
Pm1 Pm 0.083 0.000 0.299
Pm2 Pm 0.104 0.500 0.793
Pr1 Pr 0.000 0.500 0.000
Pr2 Pr 0.191 0.000 0.084
Pr3 Pr 0.205 0.000 0.609
Sc1 Sc 0.000 0.500 0.500
# Distance to the lowest polymorph of the same formula (meV per atom): 35

---

No. 8
Compound: Pm3Pr5Sc2
Source: Alexandria
Functional: PBE
Structure: relaxed

Structure (CIF):
```
data_Pm3Pr5Sc2
_cell_length_a 9.308
_cell_length_b 9.311
_cell_length_c 9.828
_cell_angle_alpha 108.82
_cell_angle_beta 108.76
_cell_angle_gamma 108.59
_symmetry_space_group_name_H-M 'P -1'
_symmetry_Int_Tables_number 2
loop_
_symmetry_equiv_pos_as_xyz
'x,y,z'
'-x,-y,-z'
loop_
_atom_site_label
_atom_site_type_symbol
_atom_site_fract_x
_atom_site_fract_y
_atom_site_fract_z
Pm1 Pm 0.030 0.279 0.057
Pm2 Pm 0.231 0.769 0.750
Pm3 Pm 0.279 0.030 0.557
Pr1 Pr 0.027 0.973 0.750
Pr2 Pr 0.122 0.378 0.743
Pr3 Pr 0.277 0.723 0.250
Pr4 Pr 0.378 0.122 0.243
Pr5 Pr 0.483 0.517 0.250
Sc1 Sc 0.218 0.474 0.441
Sc2 Sc 0.474 0.218 0.941
```

---

No. 9
Compound: Pm2PrSc6
Source: Alexandria
Functional: PBE
Structure: relaxed

Structure (CIF):
```
data_Pm2PrSc6
_cell_length_a 9.3376
_cell_length_b 9.3376
_cell_length_c 3.3100
_cell_angle_alpha 90.00
_cell_angle_beta 90.00
_cell_angle_gamma 120.00
_symmetry_space_group_name_H-M 'P 6/m m m'
_symmetry_Int_Tables_number 191
_symmetry_space_group_name_Hall '-P 6 2'
loop_
_atom_site_label
_atom_site_type_symbol
_atom_site_fract_x
_atom_site_fract_y
_atom_site_fract_z
Pm1 Pm 0.3333 0.6667 0.0000
Pr1 Pr 0.0000 0.0000 0.0000
Sc1 Sc 0.0000 0.3343 0.5000
```

---

No. 10
# Pm3PrSc2 (PBE, relaxed)
data_Pm3PrSc2
_cell_length_a 14.502
_cell_length_b 9.896
_cell_length_c 5.518
_cell_angle_alpha 90.00
_cell_angle_beta 90.00
_cell_angle_gamma 90.00
_symmetry_space_group_name_H-M 'C m c m'
_symmetry_Int_Tables_number 63
_symmetry_space_group_name_Hall '-C 2c 2'
loop_
_atom_site_label
_atom_site_type_symbol
_atom_site_fract_x
_atom_site_fract_y
_atom_site_fract_z
Pm1 Pm 0.000 0.098 0.250
Pm2 Pm 0.238 0.130 0.250
Pr1 Pr 0.000 0.267 0.750
Sc1 Sc 0.105 0.411 0.250
# Distance to the lowest polymorph of the same formula (meV per atom): 229

---

No. 11
# PmPr2Sc (PBE, relaxed)
data_PmPr2Sc
_cell_length_a 8.057
_cell_length_b 8.057
_cell_length_c 8.057
_cell_angle_alpha 90.00
_cell_angle_beta 90.00
_cell_angle_gamma 90.00
_symmetry_space_group_name_H-M 'F m -3 m'
_symmetry_Int_Tables_number 225
_symmetry_space_group_name_Hall '-F 4 2 3'
loop_
_atom_site_label
_atom_site_type_symbol
_atom_site_fract_x
_atom_site_fract_y
_atom_site_fract_z
Pm1 Pm 0.000 0.000 0.000
Pr1 Pr 0.250 0.250 0.250
Sc1 Sc 0.000 0.000 0.500
# Distance to the lowest polymorph of the same formula (meV per atom): 86

---

No. 12
# Pm4PrSc2 (PBE, relaxed)
data_Pm4PrSc2
_cell_length_a 8.700
_cell_length_b 6.479
_cell_length_c 8.970
_cell_angle_alpha 90.00
_cell_angle_beta 117.45
_cell_angle_gamma 90.00
_symmetry_space_group_name_H-M 'P 1 21/m 1'
_symmetry_Int_Tables_number 11
loop_
_symmetry_equiv_pos_as_xyz
'x,y,z'
'-x,-y,-z'
'-x,y+1/2,-z'
'x,-y+1/2,z'
loop_
_atom_site_label
_atom_site_type_symbol
_atom_site_fract_x
_atom_site_fract_y
_atom_site_fract_z
Pm1 Pm 0.008 0.250 0.065
Pm2 Pm 0.057 0.750 0.331
Pm3 Pm 0.408 0.507 0.272
Pr1 Pr 0.248 0.750 0.761
Sc1 Sc 0.203 0.250 0.500
Sc2 Sc 0.365 0.250 0.919
# Distance to the lowest polymorph of the same formula (meV per atom): 0

---

No. 13
Compound: PmPr7Sc4
Source: Alexandria
Functional: PBE
Structure: relaxed

Structure (CIF):
```
data_PmPr7Sc4
_cell_length_a 6.225
_cell_length_b 7.187
_cell_length_c 8.806
_cell_angle_alpha 89.90
_cell_angle_beta 76.51
_cell_angle_gamma 89.93
_symmetry_space_group_name_H-M 'P -1'
_symmetry_Int_Tables_number 2
loop_
_symmetry_equiv_pos_as_xyz
'x,y,z'
'-x,-y,-z'
loop_
_atom_site_label
_atom_site_type_symbol
_atom_site_fract_x
_atom_site_fract_y
_atom_site_fract_z
Pm1 Pm 0.000 0.000 0.000
Pr1 Pr 0.000 0.500 0.000
Pr2 Pr 0.226 0.001 0.336
Pr3 Pr 0.290 0.743 0.658
Pr4 Pr 0.499 0.259 0.988
Sc1 Sc 0.211 0.498 0.342
Sc2 Sc 0.269 0.262 0.663
```

---

No. 14
# PmPr2Sc (PBE, relaxed)
data_PmPr2Sc
_cell_length_a 3.6028
_cell_length_b 3.6028
_cell_length_c 34.8692
_cell_angle_alpha 90.00
_cell_angle_beta 90.00
_cell_angle_gamma 120.00
_symmetry_space_group_name_H-M 'R 3 m'
_symmetry_Int_Tables_number 160
_symmetry_space_group_name_Hall 'R 3 -2"'
loop_
_atom_site_label
_atom_site_type_symbol
_atom_site_fract_x
_atom_site_fract_y
_atom_site_fract_z
Pm1 Pm 0.0000 0.0000 0.0000
Pr1 Pr 0.0000 0.0000 0.2449
Pr2 Pr 0.0000 0.0000 0.4198
Sc1 Sc 0.0000 0.0000 0.8321
# Distance to the lowest polymorph of the same formula (meV per atom): 25

---

No. 15
# Pm8PrSc2 (PBE, relaxed)
data_Pm8PrSc2
_cell_length_a 16.687
_cell_length_b 8.395
_cell_length_c 5.522
_cell_angle_alpha 90.00
_cell_angle_beta 109.27
_cell_angle_gamma 90.00
_symmetry_space_group_name_H-M 'C 1 2/m 1'
_symmetry_Int_Tables_number 12
loop_
_symmetry_equiv_pos_as_xyz
'x,y,z'
'-x,-y,-z'
'-x,y,-z'
'x,-y,z'
'x+1/2,y+1/2,z'
'-x+1/2,-y+1/2,-z'
'-x+1/2,y+1/2,-z'
'x+1/2,-y+1/2,z'
loop_
_atom_site_label
_atom_site_type_symbol
_atom_site_fract_x
_atom_site_fract_y
_atom_site_fract_z
Pm1 Pm 0.000 0.199 0.000
Pm2 Pm 0.144 0.203 0.644
Pm3 Pm 0.162 0.500 0.162
Pr1 Pr 0.000 0.500 0.500
Sc1 Sc 0.200 0.000 0.199
# Distance to the lowest polymorph of the same formula (meV per atom): 0

---

No. 16
# Pm6PrSc2 (PBE, relaxed)
data_Pm6PrSc2
_cell_length_a 8.056
_cell_length_b 8.056
_cell_length_c 10.399
_cell_angle_alpha 90.00
_cell_angle_beta 90.00
_cell_angle_gamma 90.00
_symmetry_space_group_name_H-M 'P 42/m n m'
_symmetry_Int_Tables_number 136
_symmetry_space_group_name_Hall '-P 4n 2n'
loop_
_atom_site_label
_atom_site_type_symbol
_atom_site_fract_x
_atom_site_fract_y
_atom_site_fract_z
Pm1 Pm 0.231 0.231 0.000
Pm2 Pm 0.243 0.243 0.330
Pr1 Pr 0.000 0.000 0.500
Sc1 Sc 0.000 0.000 0.163
# Distance to the lowest polymorph of the same formula (meV per atom): 397

---

No. 17
Compound: Pm14PrSc
Source: Alexandria
Functional: PBE
Structure: relaxed

Structure (CIF):
```
data_Pm14PrSc
_cell_length_a 10.249
_cell_length_b 10.276
_cell_length_c 10.278
_cell_angle_alpha 90.00
_cell_angle_beta 90.00
_cell_angle_gamma 90.00
_symmetry_space_group_name_H-M 'A m m 2'
_symmetry_Int_Tables_number 38
loop_
_symmetry_equiv_pos_as_xyz
'x,y,z'
'-x,-y,z'
'-x,y,z'
'x,-y,z'
'x,y+1/2,z+1/2'
'-x,-y+1/2,z+1/2'
'-x,y+1/2,z+1/2'
'x,-y+1/2,z+1/2'
loop_
_atom_site_label
_atom_site_type_symbol
_atom_site_fract_x
_atom_site_fract_y
_atom_site_fract_z
Pm1 Pm 0.000 0.000 0.000
Pm2 Pm 0.000 0.000 0.500
Pm3 Pm 0.000 0.250 0.250
Pm4 Pm 0.253 0.000 0.246
Pm5 Pm 0.253 0.000 0.753
Pm6 Pm 0.253 0.247 0.000
Pm7 Pm 0.500 0.250 0.250
Pr1 Pr 0.500 0.000 0.500
Sc1 Sc 0.500 0.000 0.000
```

---

No. 18
Compound: Pm15Pr4Sc
Source: Alexandria
Functional: PBE
Structure: relaxed

Structure (CIF):
```
data_Pm15Pr4Sc
_cell_length_a 5.162
_cell_length_b 5.162
_cell_length_c 25.736
_cell_angle_alpha 90.00
_cell_angle_beta 90.00
_cell_angle_gamma 90.00
_symmetry_space_group_name_H-M 'P 4/m m m'
_symmetry_Int_Tables_number 123
_symmetry_space_group_name_Hall '-P 4 2'
loop_
_atom_site_label
_atom_site_type_symbol
_atom_site_fract_x
_atom_site_fract_y
_atom_site_fract_z
Pm1 Pm 0.000 0.000 0.000
Pm2 Pm 0.000 0.000 0.196
Pm3 Pm 0.000 0.000 0.399
Pm4 Pm 0.000 0.500 0.095
Pm5 Pm 0.000 0.500 0.298
Pm6 Pm 0.000 0.500 0.500
Pr1 Pr 0.500 0.500 0.197
Pr2 Pr 0.500 0.500 0.399
Sc1 Sc 0.500 0.500 0.000
```

---

No. 19
# Pm4Pr5Sc2 (PBE, relaxed)
data_Pm4Pr5Sc2
_cell_length_a 3.502
_cell_length_b 9.641
_cell_length_c 22.642
_cell_angle_alpha 90.00
_cell_angle_beta 90.00
_cell_angle_gamma 90.00
_symmetry_space_group_name_H-M 'I m m m'
_symmetry_Int_Tables_number 71
_symmetry_space_group_name_Hall '-I 2 2'
loop_
_atom_site_label
_atom_site_type_symbol
_atom_site_fract_x
_atom_site_fract_y
_atom_site_fract_z
Pm1 Pm 0.000 0.000 0.098
Pm2 Pm 0.000 0.299 0.500
Pr1 Pr 0.000 0.213 0.342
Pr2 Pr 0.000 0.500 0.000
Sc1 Sc 0.000 0.000 0.231
# Distance to the lowest polymorph of the same formula (meV per atom): 135

---

No. 20
# PmPr2Sc (PBE, relaxed)
data_PmPr2Sc
_cell_length_a 3.4962
_cell_length_b 3.4962
_cell_length_c 37.2958
_cell_angle_alpha 90.00
_cell_angle_beta 90.00
_cell_angle_gamma 120.00
_symmetry_space_group_name_H-M 'R -3 m'
_symmetry_Int_Tables_number 166
_symmetry_space_group_name_Hall '-R 3 2"'
loop_
_atom_site_label
_atom_site_type_symbol
_atom_site_fract_x
_atom_site_fract_y
_atom_site_fract_z
Pm1 Pm 0.0000 0.0000 0.0000
Pr1 Pr 0.0000 0.0000 0.4149
Sc1 Sc 0.0000 0.0000 0.5000
# Distance to the lowest polymorph of the same formula (meV per atom): 193

---

| no. | total magnetization (μB per formula unit) | E_form (meV per atom) |
| --- | --- | --- |
| 1 | 0.00 | 30 |
| 2 | 0.00 | 88 |
| 3 | 0.00 | 168 |
| 4 | 0.00 | 85 |
| 5 | 0.00 | 135 |
| 6 | 0.00 | 52 |
| 7 | 0.00 | 62 |
| 8 | 0.00 | 173 |
| 9 | 0.00 | 80 |
| 10 | 0.00 | 267 |
| 11 | 0.00 | 125 |
| 12 | 0.00 | 176 |
| 13 | 0.00 | 46 |
| 14 | 0.00 | 63 |
| 15 | 0.00 | 122 |
| 16 | 0.00 | 578 |
| 17 | 0.00 | 22 |
| 18 | 0.00 | 21 |
| 19 | 0.00 | 244 |
| 20 | 0.00 | 231 |